# 1
Compound: Pu2NiGeH
Source: Alexandria
Functional: PBE
Structure: optimized geometry

a b c (Å): 5.942 4.420 7.012
angles (deg): 90.00 113.97 90.00
Space group P2_1/m (No. 11)
Asymmetric unit:
1 Pu 0.121 0.250 0.401 (multiplicity 2)
2 Pu 0.248 0.250 0.929 (multiplicity 2)
3 Ni 0.403 0.750 0.653 (multiplicity 2)
4 Ge 0.350 0.750 0.264 (multiplicity 2)
5 H 0.308 0.750 0.841 (multiplicity 2)

Output
E_tot	-8.8107	eV/atom



# 2
Compound: PtINO2
Source: Alexandria
Functional: PBE
Structure: optimized geometry

a b c (Å): 3.864 3.864 4.369
angles (deg): 90.00 90.00 90.00
Space group P4/mmm (No. 123)
Asymmetric unit:
1 Pt 0.000 0.000 0.000 (multiplicity 1)
2 I 0.500 0.500 0.000 (multiplicity 1)
3 N 0.500 0.500 0.500 (multiplicity 1)
4 O 0.000 0.500 0.500 (multiplicity 2)

Output
energy relative to the elements, uncorrected	1.5261	eV/atom



# 3
Compound: Th2AuC2
Source: Alexandria
Functional: PBE
Structure: optimized geometry

a b c (Å): 14.771 4.174 6.789
angles (deg): 90.00 103.05 90.00
Space group C2/c (No. 15)
Asymmetric unit:
1 Th 0.148 0.182 0.138 (multiplicity 8)
2 Au 0.000 0.335 0.750 (multiplicity 4)
3 C 0.222 0.372 0.527 (multiplicity 8)

Output
energy of formation from the pure elements	-38	kJ per mole of atoms



# 4
Compound: LiAg3Sn
Source: Alexandria
Functional: PBE
Structure: optimized geometry

a b c (Å): 4.740 16.552 4.702
angles (deg): 90.00 90.00 90.00
Space group Cmcm (No. 63)
Asymmetric unit:
1 Li 0.000 0.149 0.250 (multiplicity 4)
2 Ag 0.000 0.051 0.750 (multiplicity 4)
3 Ag 0.000 0.249 0.750 (multiplicity 4)
4 Ag 0.000 0.449 0.750 (multiplicity 4)
5 Sn 0.000 0.351 0.250 (multiplicity 4)

Output
energy of formation from the pure elements	-15	kJ per mole of atoms
energy above the lowest structure with this stoichiometry	0.0	meV/atom



# 5
Compound: FeHg2Rh
Source: Alexandria
Functional: PBE
Structure: optimized geometry

a b c (Å): 5.772 7.817 3.051
angles (deg): 90.00 90.00 90.00
Space group Cmmm (No. 65)
Asymmetric unit:
1 Fe 0.000 0.000 0.000 (multiplicity 2)
2 Hg 0.250 0.250 0.500 (multiplicity 4)
3 Rh 0.000 0.500 0.000 (multiplicity 2)

Output
energy of formation from the pure elements	33	kJ per mole of atoms
energy above the lowest structure with this stoichiometry	170.6	meV/atom



# 6
Compound: Li2Rh2N
Source: Alexandria
Functional: PBE
Structure: optimized geometry

a b c (Å): 3.963 3.963 4.056
angles (deg): 90.00 90.00 90.00
Space group P4/mmm (No. 123)
Asymmetric unit:
1 Li 0.000 0.000 0.000 (multiplicity 1)
2 Li 0.500 0.500 0.000 (multiplicity 1)
3 Rh 0.000 0.500 0.500 (multiplicity 2)
4 N 0.000 0.000 0.500 (multiplicity 1)

Output
energy relative to the elements, uncorrected	-0.2572	eV/atom



# 7
Compound: HfIr3Au
Source: Alexandria
Functional: PBE
Structure: optimized geometry

a b c (Å): 4.792 4.792 4.792
angles (deg): 90.00 90.00 90.00
Space group Pm-3m (No. 221)
Asymmetric unit:
1 Hf 0.000 0.000 0.000 (multiplicity 1)
2 Ir 0.000 0.500 0.500 (multiplicity 3)
3 Au 0.500 0.500 0.500 (multiplicity 1)

Output
energy of formation from the pure elements	169	kJ per mole of atoms
energy above the lowest structure with this stoichiometry	195.5	meV/atom



# 8
Compound: KAg4Pb8
Source: Alexandria
Functional: PBE
Structure: optimized geometry

a b c (Å): 10.905 10.905 6.136
angles (deg): 90.00 90.00 90.00
Space group I4/mmm (No. 139)
Asymmetric unit:
1 K 0.000 0.000 0.000 (multiplicity 2)
2 Ag 0.250 0.250 0.250 (multiplicity 8)
3 Pb 0.000 0.218 0.500 (multiplicity 8)
4 Pb 0.000 0.348 0.000 (multiplicity 8)

Output
energy of formation from the pure elements	0	kJ per mole of atoms



# 9
Compound: Tb3SmC2
Source: Alexandria
Functional: PBE
Structure: optimized geometry

a b c (Å): 12.542 7.236 7.535
angles (deg): 90.00 123.44 90.00
Space group C2/m (No. 12)
Asymmetric unit:
1 Tb 0.013 0.249 0.286 (multiplicity 8)
2 Tb 0.238 0.500 0.714 (multiplicity 4)
3 Sm 0.241 0.000 0.726 (multiplicity 4)
4 C 0.000 0.000 0.500 (multiplicity 2)
5 C 0.000 0.500 0.500 (multiplicity 2)
6 C 0.250 0.250 0.500 (multiplicity 4)

Output
energy of formation from the pure elements	-22	kJ per mole of atoms



# 10
Compound: K2ErBiO4
Source: Alexandria
Functional: PBE
Structure: optimized geometry

a b c (Å): 6.142 3.521 6.595
angles (deg): 90.00 107.85 90.00
Space group P2/m (No. 10)
Asymmetric unit:
1 K 0.000 0.000 0.000 (multiplicity 1)
2 K 0.500 0.500 0.000 (multiplicity 1)
3 Er 0.000 0.500 0.500 (multiplicity 1)
4 Bi 0.500 0.000 0.500 (multiplicity 1)
5 O 0.216 0.000 0.688 (multiplicity 2)
6 O 0.251 0.500 0.303 (multiplicity 2)

Output
energy relative to the elements, uncorrected	-2.0629	eV/atom



# 11
Compound: HfScGa2Br
Source: Alexandria
Functional: PBE
Structure: optimized geometry

a b c (Å): 5.134 5.134 4.928
angles (deg): 90.00 90.00 90.00
Space group P4/mmm (No. 123)
Asymmetric unit:
1 Hf 0.000 0.000 0.000 (multiplicity 1)
2 Sc 0.500 0.500 0.500 (multiplicity 1)
3 Ga 0.000 0.500 0.500 (multiplicity 2)
4 Br 0.500 0.500 0.000 (multiplicity 1)

Output
energy relative to the elements, uncorrected	0.5326	eV/atom



# 12
Compound: Ag2Hg2Au3
Source: Alexandria
Functional: PBE
Structure: optimized geometry

a b c (Å): 3.092 6.703 7.502
angles (deg): 113.08 90.92 102.94
Space group P-1 (No. 2)
Asymmetric unit:
1 Ag 0.108 0.212 0.434 (multiplicity 2)
2 Hg 0.385 0.781 0.223 (multiplicity 2)
3 Au 0.000 0.000 0.000 (multiplicity 1)
4 Au 0.302 0.603 0.790 (multiplicity 2)

Output
energy of formation from the pure elements	5	kJ per mole of atoms
energy above the lowest structure with this stoichiometry	0.0	meV/atom



Number 1: DOS at the Fermi energy 29.33 states/eV/cell. Number 2: DOS at the Fermi energy 5.00 states/eV/cell. Number 3: DOS at the Fermi energy 15.94 states/eV/cell. Number 4: DOS at the Fermi energy 4.31 states/eV/cell. Number 5: DOS at the Fermi energy 8.09 states/eV/cell. Number 6: DOS at the Fermi energy 2.26 states/eV/cell. Number 7: DOS at the Fermi energy 9.49 states/eV/cell. Number 8: DOS at the Fermi energy 7.76 states/eV/cell. Number 9: DOS at the Fermi energy 19.97 states/eV/cell. Number 10: DOS at the Fermi energy 0.00 states/eV/cell. Number 11: DOS at the Fermi energy 2.44 states/eV/cell. Number 12: DOS at the Fermi energy 1.97 states/eV/cell.